The following is a DFT calculation (PBE) of a geometry-optimized Na3In8Sn3 structure.

total moment = 0.0 μB per formula unit
space group = Immm (71)
E = -2.771 eV per atom
DOS at the Fermi energy = 4.4 states/eV/cell
energy of formation from the pure elements = -6 kJ per mole of atoms

Lattice parameters (Å, degrees): 9.3921 9.3921 9.3921 149.44 103.23 84.84
Closest atoms and distances in Å follow each position.
Positions (direct):
Na 0.0000 0.0000 0.0000  12 In 3.51-3.88
Na 0.2954 0.2954 0.0000  4 Sn 3.52-3.77, 10 In 3.54-3.80
Na 0.7046 0.7046 0.0000  4 Sn 3.52-3.77, 10 In 3.54-3.80
In 0.0219 0.6456 0.3763  4 In 2.89-3.06, 1 Sn 3.06
In 0.1247 0.8464 0.2783  3 In 3.01-3.06, 3 Sn 3.30-3.35
In 0.2694 0.6456 0.6237  4 In 2.89-3.06, 1 Sn 3.06
In 0.4319 0.1536 0.2783  3 In 3.01-3.06, 3 Sn 3.30-3.35
In 0.5681 0.8464 0.7217  3 In 3.01-3.06, 3 Sn 3.30-3.35
In 0.7306 0.3544 0.3763  4 In 2.89-3.06, 1 Sn 3.06
In 0.8753 0.1536 0.7217  3 In 3.01-3.06, 3 Sn 3.30-3.35
In 0.9781 0.3544 0.6237  4 In 2.89-3.06, 1 Sn 3.06
Sn 0.3210 0.5000 0.8210  6 In 3.06-3.30, 2 Sn 3.24
Sn 0.5000 0.0000 0.5000  4 Sn 3.24, 4 In 3.35
Sn 0.6790 0.5000 0.1790  6 In 3.06-3.30, 2 Sn 3.24



The following is a DFT calculation (PBE) of a geometry-optimized PmScH4 structure.

total moment = 0.0 μB per formula unit
space group = P4/mmm (123)
E = -4.727 eV per atom
DOS at the Fermi energy = 1.7 states/eV/cell

Lattice parameters (Å, degrees): 3.5672 3.5672 5.1740 90.00 90.00 90.00
Closest atoms and distances in Å follow each position.
Positions (direct):
Pm 0.0000 0.0000 0.0000  8 H 2.30
Sc 0.5000 0.5000 0.5000  8 H 2.11
H 0.0000 0.5000 0.2821  2 Sc 2.11, 1 H 2.25, 2 Pm 2.30
H 0.0000 0.5000 0.7179  2 Sc 2.11, 1 H 2.25, 2 Pm 2.30
H 0.5000 0.0000 0.2821  2 Sc 2.11, 1 H 2.25, 2 Pm 2.30
H 0.5000 0.0000 0.7179  2 Sc 2.11, 1 H 2.25, 2 Pm 2.30



The following is a DFT calculation (PBE) of a geometry-optimized Na2TiRh2O6 structure.

formation energy (no corrections) = -1723 kJ/mol of formula units
total moment = 0.0 μB per formula unit
space group = C2/m (12)
E = -6.622 eV per atom

Lattice parameters (Å, degrees): 5.2858 5.2858 5.8145 99.30 99.30 120.09
Closest atoms and distances in Å follow each position.
Positions (direct):
Na 0.1724 0.8276 0.0000  6 O 2.41-2.46
Na 0.8276 0.1724 0.0000  6 O 2.41-2.46
Ti 0.0000 0.0000 0.5000  6 O 1.99-2.03
Rh 0.3348 0.6652 0.5000  6 O 2.07-2.10
Rh 0.6652 0.3348 0.5000  6 O 2.07-2.10
O 0.0647 0.3931 0.6933  1 Ti 2.03, 2 Rh 2.07-2.09
O 0.2472 0.2472 0.3033  1 Ti 1.99, 2 Rh 2.10
O 0.3931 0.0647 0.6933  1 Ti 2.03, 2 Rh 2.07-2.09
O 0.6069 0.9353 0.3067  1 Ti 2.03, 2 Rh 2.07-2.09
O 0.7528 0.7528 0.6967  1 Ti 1.99, 2 Rh 2.10
O 0.9353 0.6069 0.3067  1 Ti 2.03, 2 Rh 2.07-2.09



The following is a DFT calculation (PBE) of a geometry-optimized TbTh2Ti structure.

total moment = 0.0 μB per formula unit
space group = P4/mmm (123)
E = -6.706 eV per atom
DOS at the Fermi energy = 6.3 states/eV/cell
energy of formation from the pure elements = 13 kJ per mole of atoms

Lattice parameters (Å, degrees): 3.5973 3.5973 8.7340 90.00 90.00 90.00
Closest atoms and distances in Å follow each position.
Positions (direct):
Tb 0.0000 0.0000 0.0000  8 Th 3.54, 4 Tb 3.60
Th 0.5000 0.5000 0.2811  4 Ti 3.18, 4 Tb 3.54
Th 0.5000 0.5000 0.7189  4 Ti 3.18, 4 Tb 3.54
Ti 0.0000 0.0000 0.5000  8 Th 3.18



The following is a DFT calculation (PBE) of a geometry-optimized LaPr3Dy3 structure.

total moment = 0.0 μB per formula unit
space group = P6_3/m (176)
E = -4.694 eV per atom
DOS at the Fermi energy = 24.4 states/eV/cell
energy of formation from the pure elements = 3 kJ per mole of atoms

Lattice parameters (Å, degrees): 9.7753 9.7753 5.8708 90.00 90.00 120.00
Closest atoms and distances in Å follow each position.
Positions (direct):
La 0.3333 0.6667 0.2500  9 Pr 3.63-3.70, 3 Dy 3.75
La 0.6667 0.3333 0.7500  9 Pr 3.63-3.70, 3 Dy 3.75
Pr 0.0951 0.6215 0.7500  3 La 3.63-3.70, 4 Pr 3.65-3.71, 5 Dy 3.65-3.76
Pr 0.3785 0.4736 0.7500  3 La 3.63-3.70, 4 Pr 3.65-3.71, 5 Dy 3.65-3.76
Pr 0.4736 0.0951 0.2500  3 La 3.63-3.70, 4 Pr 3.65-3.71, 5 Dy 3.65-3.76
Pr 0.5264 0.9049 0.7500  3 La 3.63-3.70, 4 Pr 3.65-3.71, 5 Dy 3.65-3.76
Pr 0.6215 0.5264 0.2500  3 La 3.63-3.70, 4 Pr 3.65-3.71, 5 Dy 3.65-3.76
Pr 0.9049 0.3785 0.2500  3 La 3.63-3.70, 4 Pr 3.65-3.71, 5 Dy 3.65-3.76
Dy 0.0449 0.8139 0.2500  6 Dy 3.59, 5 Pr 3.65-3.76, 1 La 3.75
Dy 0.1861 0.2310 0.2500  6 Dy 3.59, 5 Pr 3.65-3.76, 1 La 3.75
Dy 0.2310 0.0449 0.7500  6 Dy 3.59, 5 Pr 3.65-3.76, 1 La 3.75
Dy 0.7690 0.9551 0.2500  6 Dy 3.59, 5 Pr 3.65-3.76, 1 La 3.75
Dy 0.8139 0.7690 0.7500  6 Dy 3.59, 5 Pr 3.65-3.76, 1 La 3.75
Dy 0.9551 0.1861 0.7500  6 Dy 3.59, 5 Pr 3.65-3.76, 1 La 3.75



The following is a DFT calculation (PBE) of a geometry-optimized TiBeAsSe2 structure.

formation energy (no corrections) = 240 kJ/mol of formula units
total moment = 0.0 μB per formula unit
space group = P4/mmm (123)
E = -4.150 eV per atom
DOS at the Fermi energy = 5.4 states/eV/cell

Lattice parameters (Å, degrees): 4.8854 4.8854 4.5625 90.00 90.00 90.00
Closest atoms and distances in Å follow each position.
Positions (direct):
Ti 0.0000 0.0000 0.0000  2 Be 2.28, 4 Se 2.44
Be 0.0000 0.0000 0.5000  2 Ti 2.28
As 0.5000 0.5000 0.5000  8 Se 3.34, 4 Be 3.45
Se 0.0000 0.5000 0.0000  2 Ti 2.44
Se 0.5000 0.0000 0.0000  2 Ti 2.44



Q: What is the E in the fifth record?
A: -4.694 eV per atom